No. 1
4
Lattice="1.604 0.926 10.451 -1.604 0.926 10.451 0.000 -1.852 10.451" Properties=species:S:1:pos:R:3 comment="In2WBr PBE relaxed" volume_a3_per_atom=23.3 formation_energy_uncorrected_ev_per_atom=0.360 polymorph_energy_ev_per_atom=0.000 pbc="T T T"
In 0.000 0.000 0.000
In 0.000 0.000 7.771
W 0.000 0.000 23.207
Br 0.000 0.000 14.572


No. 2
5
Lattice="4.703 0.000 0.000 0.000 4.703 0.000 0.000 0.000 3.919" Properties=species:S:1:pos:R:3 comment="LiMgSc2H PBE relaxed" volume_a3_per_atom=17.3 polymorph_energy_ev_per_atom=0.000 pbc="T T T"
Li 0.000 0.000 0.000
Mg 2.351 2.351 0.000
Sc 0.000 2.351 1.959
Sc 2.351 0.000 1.959
H 0.000 0.000 1.959


No. 3
11
Lattice="-1.982 6.078 3.555 1.982 -6.078 3.555 1.982 6.078 -3.555" Properties=species:S:1:pos:R:3 comment="Be2Cu2Au7 PBE relaxed" volume_a3_per_atom=15.6 formation_energy_ev_per_atom=-0.0234 polymorph_energy_ev_per_atom=0.000 pbc="T T T"
Be 0.000 2.411 0.000
Be 0.000 9.745 0.000
Cu 0.000 0.000 1.520
Cu 1.982 0.000 3.515
Au 1.982 -1.827 1.428
Au 1.982 1.827 1.428
Au 1.982 4.364 0.021
Au 0.000 4.092 2.056
Au 0.000 1.714 3.576
Au 0.000 0.000 6.042
Au 0.000 8.064 2.056


No. 4
5
Lattice="5.069 0.000 0.000 0.000 5.069 0.000 0.000 0.000 5.097" Properties=species:S:1:pos:R:3 comment="La2PrAlN PBE relaxed" volume_a3_per_atom=26.2 formation_energy_uncorrected_ev_per_atom=-0.748 pbc="T T T"
La 0.000 2.534 0.000
La 2.534 0.000 0.000
Pr 0.000 0.000 2.548
Al 2.534 2.534 2.548
N 0.000 0.000 0.000


Number 1: calculated total energy -4.666 eV per atom, size of the total moment 0.00 μB/f.u.. Number 2: calculated total energy -4.013 eV per atom, size of the total moment 0.89 μB/f.u.. Number 3: calculated total energy -3.531 eV per atom, size of the total moment 0.00 μB/f.u.. Number 4: calculated total energy -6.088 eV per atom, size of the total moment 0.00 μB/f.u..